No. 1
The following is a DFT calculation (PBE-GGA) of crystalline GaPbO2F at its relaxed geometry.

Cell and atoms, written as POSCAR:
```
GaPbO2F
1.0
4.337 0.000 0.000
0.000 4.337 0.000
0.000 0.000 4.478
Ga Pb O F
1 1 2 1
direct
0.000 0.000 0.000
0.500 0.500 0.500
0.000 0.500 0.500
0.500 0.000 0.500
0.500 0.500 0.000
```

* crystal system: tetragonal
* space-group type: No. 123
* formation energy (no corrections): -0.86 eV/atom

---

No. 2
The following is a DFT calculation (PBE-GGA) of crystalline TaReAu2 at its relaxed geometry.

Cell and atoms, written as POSCAR:
```
TaReAu2
1.0
2.816 0.000 0.000
0.000 2.816 0.000
0.000 0.000 8.515
Ta Re Au
1 1 2
direct
0.000 0.000 0.000
0.000 0.000 0.500
0.500 0.500 0.253
0.500 0.500 0.747
```

* crystal system: tetragonal
* space-group type: No. 123
* energy above the lowest structure with this stoichiometry: 234 meV/atom
* formation enthalpy at 0 K: 1.37 eV per formula unit

---

No. 3
The following is a DFT calculation (PBE-GGA) of crystalline RbCr2InHg at its relaxed geometry.

Cell and atoms, written as POSCAR:
```
RbCr2InHg
1.0
5.501 0.000 0.000
0.000 5.501 0.000
0.000 0.000 5.713
Rb Cr In Hg
1 2 1 1
direct
0.000 0.000 0.000
0.000 0.500 0.500
0.500 0.000 0.500
0.500 0.500 0.500
0.500 0.500 0.000
```

* crystal system: tetragonal
* space-group type: No. 123
* formation enthalpy at 0 K: 4.03 eV per formula unit

---

No. 4
The following is a DFT calculation (PBE-GGA) of crystalline BeSb3I at its relaxed geometry.

Cell and atoms, written as POSCAR:
```
BeSb3I
1.0
5.781 0.000 0.000
0.000 5.781 0.000
0.000 0.000 5.781
Be Sb I
1 3 1
direct
0.000 0.000 0.000
0.000 0.500 0.500
0.500 0.000 0.500
0.500 0.500 0.000
0.500 0.500 0.500
```

* crystal system: cubic
* space-group type: No. 221
* energy above the lowest structure with this stoichiometry: 1142 meV/atom
* formation energy (no corrections): 1.64 eV/atom